No. 1
VASP calculation (PBE) on a relaxed Na7IBr2O2 crystal.

Geometry as POSCAR:
```
Na7IBr2O2
1.0
-3.072 1.304 3.224
-3.263 -2.571 -2.068
0.005 -10.239 7.496
Na I Br O
7 1 2 2
Direct
0.500 0.500 0.000
0.308 0.308 0.381
0.692 0.692 0.619
0.901 0.401 0.197
0.401 0.901 0.197
0.599 0.099 0.803
0.099 0.599 0.803
0.000 0.000 0.000
0.810 0.810 0.379
0.190 0.190 0.621
0.598 0.598 0.805
0.402 0.402 0.195
```

Results
**Space-group type**: C2/m (12)
**E_form (uncorrected)**: -1.352 eV per atom

No. 2
VASP calculation (PBE) on a relaxed Na3PaI2Br6 crystal.

Geometry as POSCAR:
```
Na3PaI2Br6
1.0
-2.004 -6.220 -1.392
6.731 -3.256 4.858
-7.781 2.207 4.078
Na Pa I Br
3 1 2 6
Direct
0.000 0.500 0.000
0.500 0.500 0.500
0.500 0.000 0.500
0.500 0.000 0.000
0.234 0.672 0.343
0.766 0.328 0.657
0.737 0.294 0.153
0.263 0.706 0.847
0.729 0.863 0.726
0.271 0.137 0.274
0.263 0.141 0.847
0.737 0.859 0.153
```

Results
**Space-group type**: C2/m (12)
**E_form (uncorrected)**: -1.363 eV per atom

No. 3
VASP calculation (PBE) on a relaxed Na2PbIBr crystal.

Geometry as POSCAR:
```
Na2PbIBr
1.0
-3.300 -4.445 0.512
4.855 -3.379 1.966
-1.124 1.439 5.251
Pb I Br Na
1 1 1 2
Direct
0.000 0.500 0.000
0.500 0.500 0.500
0.000 0.000 0.000
0.000 0.000 0.500
0.500 0.000 0.000
```

Results
**Space-group type**: P4/mmm (123)
**E_form (uncorrected)**: -0.459 eV per atom

No. 4
VASP calculation (PBE) on a relaxed Na2PbIBr6 crystal.

Geometry as POSCAR:
```
Na2PbIBr6
1.0
8.114 0.192 -0.175
4.293 6.455 -0.818
4.030 1.338 7.073
Na Pb I Br
2 1 1 6
Direct
0.460 0.520 0.485
0.051 0.093 0.959
0.827 0.815 0.518
0.331 0.318 0.030
0.635 0.161 0.270
0.223 0.816 0.253
0.948 0.464 0.318
0.417 0.805 0.682
0.715 0.167 0.736
0.055 0.501 0.765
```

Results
**Space-group type**: P1 (1)
**E_form (uncorrected)**: -0.829 eV per atom

No. 5
VASP calculation (PBE) on a relaxed NaPb2IBr4 crystal.

Geometry as POSCAR:
```
NaPb2IBr4
1.0
4.259 0.000 0.000
2.130 7.145 0.417
2.130 1.807 9.220
Na Pb I Br
1 2 1 4
Direct
0.000 0.000 0.000
0.815 0.623 0.747
0.185 0.377 0.253
0.500 0.500 0.500
0.184 0.925 0.707
0.376 0.310 0.937
0.816 0.075 0.293
0.624 0.690 0.063
```

Results
**Space-group type**: C2/m (12)
**E_form (uncorrected)**: -1.001 eV per atom

No. 6
VASP calculation (PBE) on a relaxed Na2PbI2Br2 crystal.

Geometry as POSCAR:
```
Na2PbI2Br2
1.0
-4.451 -0.578 0.393
-1.042 -5.555 5.967
-4.220 2.634 7.559
Na Pb I Br
2 1 2 2
Direct
0.013 0.552 0.715
0.987 0.448 0.285
0.000 0.000 0.000
0.319 0.234 0.562
0.681 0.766 0.438
0.356 0.274 0.006
0.644 0.726 0.994
```

Results
**Space-group type**: P-1 (2)
**E_form (uncorrected)**: -1.091 eV per atom

No. 7
VASP calculation (PBE) on a relaxed NaPdIBr2 crystal.

Geometry as POSCAR:
```
NaPdIBr2
1.0
-2.033 4.720 0.908
-4.703 -1.750 -1.432
-1.057 -1.469 5.269
I Na Br Pd
1 1 2 1
Direct
0.000 0.000 0.500
0.500 0.500 0.500
0.000 0.500 0.000
0.500 0.000 0.000
0.000 0.000 0.000
```

Results
**Space-group type**: P4/mmm (123)
**E_form (uncorrected)**: -0.612 eV per atom

No. 8
VASP calculation (PBE) on a relaxed Na2PdIBr6 crystal.

Geometry as POSCAR:
```
Na2PdIBr6
1.0
-5.791 4.097 -1.881
-5.975 -0.636 4.208
-3.191 6.848 5.218
Na Pd I Br
2 1 1 6
Direct
0.547 0.390 0.457
0.965 0.028 0.001
0.332 0.344 0.006
0.828 0.843 0.514
0.517 0.235 0.215
0.234 0.920 0.223
0.977 0.530 0.208
0.422 0.762 0.793
0.688 0.178 0.795
0.152 0.432 0.801
```

Results
**Space-group type**: P1 (1)
**E_form (uncorrected)**: -0.676 eV per atom

No. 9
VASP calculation (PBE) on a relaxed Na2Pu2I2Br5 crystal.

Geometry as POSCAR:
```
Na2Pu2I2Br5
1.0
5.854 0.000 0.000
0.000 5.854 0.000
-2.927 -2.927 13.686
Na Pu I Br
2 2 2 5
Direct
0.330 0.330 0.659
0.670 0.670 0.341
0.106 0.106 0.211
0.894 0.894 0.789
0.218 0.218 0.436
0.782 0.782 0.564
0.000 0.000 0.000
0.613 0.113 0.226
0.887 0.387 0.774
0.113 0.613 0.226
0.387 0.887 0.774
```

Results
**Space-group type**: I4/mmm (139)
**E_form (uncorrected)**: -1.346 eV per atom

No. 10
VASP calculation (PBE) on a relaxed RbNa2IBr2 crystal.

Geometry as POSCAR:
```
RbNa2IBr2
1.0
7.429 0.000 0.000
0.000 6.524 -0.860
0.000 -3.878 11.924
Rb Na I Br
2 4 2 4
Direct
0.750 0.396 0.591
0.250 0.604 0.409
0.507 0.040 0.168
0.993 0.040 0.168
0.007 0.960 0.832
0.493 0.960 0.832
0.250 0.260 0.044
0.750 0.740 0.956
0.250 0.028 0.328
0.250 0.626 0.685
0.750 0.972 0.672
0.750 0.374 0.315
```

Results
**Space-group type**: P2_1/m (11)
**E_form (uncorrected)**: -1.427 eV per atom

No. 11
VASP calculation (PBE) on a relaxed Rb2NaIBr6 crystal.

Geometry as POSCAR:
```
Rb2NaIBr6
1.0
9.301 -1.642 1.046
3.386 5.844 0.029
5.196 0.807 7.443
Rb Na I Br
2 1 1 6
Direct
0.585 0.600 0.275
0.047 0.032 0.828
0.816 0.816 0.552
0.316 0.316 0.051
0.655 0.051 0.337
0.168 0.988 0.372
0.997 0.598 0.221
0.464 0.644 0.730
0.635 0.035 0.882
0.977 0.581 0.766
```

Results
**Space-group type**: P-1 (2)
**Distance to the lowest polymorph of the same formula**: 0 meV per atom
**E_form (uncorrected)**: -1.014 eV per atom

No. 12
VASP calculation (PBE) on a relaxed Rb2NaIBr2 crystal.

Geometry as POSCAR:
```
Rb2NaIBr2
1.0
5.582 0.000 0.000
0.000 5.582 0.000
0.000 0.000 8.265
Rb Na I Br
2 1 1 2
Direct
0.500 0.500 0.744
0.500 0.500 0.256
0.000 0.000 0.000
0.000 0.000 0.500
0.500 0.000 0.000
0.000 0.500 0.000
```

Results
**Space-group type**: P4/mmm (123)
**E_form (uncorrected)**: -1.494 eV per atom

For reference, density by record: 3.0; 3.7; 4.0; 3.8; 5.3; 4.3; 4.6; 3.7; 4.2; 2.5; 3.2; 3.1 g cm⁻³.